VASP calculation (PBE) on an optimized crystal structure of LaAlCd2.

a = 4.6544 Å, b = 4.5034 Å, c = 4.8693 Å
α = 90.00°, β = 90.10°, γ = 90.00°
With the nearest neighbours (Å) after each atom.
Space group P2/m (No. 10)
Symmetry-distinct sites (fractional):
La (0.0000, 0.0000, 0.0000) (multiplicity 1)  4 Al 3.24, 8 Cd 3.32-3.37
Al (0.5000, 0.5000, 0.0000) (multiplicity 1)  4 La 3.24, 8 Cd 3.32-3.37
Cd (0.0000, 0.5000, 0.5000) (multiplicity 1)  4 Cd 3.24, 4 La 3.32, 4 Al 3.37
Cd (0.5000, 0.0000, 0.5000) (multiplicity 1)  4 Cd 3.24, 4 Al 3.32, 4 La 3.37

Calculated values
- DFT formation energy (eV/atom) = -0.23

VASP calculation (PBE) on an optimized crystal structure of Tl4Se2O5.

a = 12.7412 Å, b = 5.9281 Å, c = 8.1249 Å
α = 90.00°, β = 111.64°, γ = 90.00°
With the nearest neighbours (Å) after each atom.
Space group Cm (No. 8)
Symmetry-distinct sites (fractional):
Tl (0.0000, 0.0000, 0.0000) (multiplicity 2)  2 O 2.54
Tl (0.0541, 0.0000, 0.5426) (multiplicity 2)  4 O 2.63-2.81
Tl (0.1972, 0.5000, 0.3075) (multiplicity 2)  4 O 2.67-2.75
Tl (0.3894, 0.0000, 0.7206) (multiplicity 2)  3 O 2.49-2.55
Se (0.2349, 0.5000, 0.7509) (multiplicity 2)  2 O 1.80
Se (0.4034, 0.0000, 0.2062) (multiplicity 2)  3 O 1.70-1.75
O (0.2285, 0.2695, 0.6036) (multiplicity 4)  1 Se 1.80
O (0.3268, 0.0000, 0.9848) (multiplicity 2)  1 Se 1.70
O (0.4974, 0.2259, 0.2392) (multiplicity 4)  1 Se 1.75

Calculated values
- total DFT energy (no corrections) (eV per atom) = -4.485

VASP calculation (PBE) on an optimized crystal structure of K2ReP.

a = 6.3733 Å, b = 6.3733 Å, c = 2.6158 Å
α = 90.00°, β = 90.00°, γ = 90.00°
With the nearest neighbours (Å) after each atom.
Space group P4/mmm (No. 123)
Symmetry-distinct sites (fractional):
K (0.0000, 0.5000, 0.0000) (multiplicity 2)  2 K 2.62
Re (0.0000, 0.0000, 0.5000) (multiplicity 1)  2 Re 2.62
P (0.5000, 0.5000, 0.5000) (multiplicity 1)  2 P 2.62

Calculated values
- DFT formation energy (eV/atom) = 1.29

VASP calculation (PBE) on an optimized crystal structure of CdPtBrO2.

a = 4.0143 Å, b = 4.0143 Å, c = 6.1298 Å
α = 90.00°, β = 90.00°, γ = 90.00°
With the nearest neighbours (Å) after each atom.
Space group P4/mmm (No. 123)
Symmetry-distinct sites (fractional):
Cd (0.0000, 0.0000, 0.0000) (multiplicity 1)  4 O 2.01
Pt (0.0000, 0.0000, 0.5000) (multiplicity 1)  4 Br 2.84, 2 Cd 3.06
Br (0.5000, 0.5000, 0.5000) (multiplicity 1)  4 Pt 2.84
O (0.0000, 0.5000, 0.0000) (multiplicity 2)  2 Cd 2.01

Calculated values
- total DFT energy (no corrections) (eV per atom) = -3.139

| no. | volume (Å³ per atom) |
| --- | --- |
| 1 | 25.52 |
| 2 | 25.93 |
| 3 | 26.56 |
| 4 | 19.76 |